[1]
Below is an optimized crystal structure of ZrScCu, with properties calculated at the PBE-GGA level.

The structure in CIF format:
```
data_ZrScCu
_chemical_formula_sum 'Zr2 Sc2 Cu2'
_cell_length_a 4.908
_cell_length_b 3.207
_cell_length_c 7.775
_cell_angle_alpha 90.00
_cell_angle_beta 108.36
_cell_angle_gamma 90.00
_symmetry_space_group_name_H-M 'P 1 m 1'
_symmetry_Int_Tables_number 6
_symmetry_space_group_name_Hall 'P -2y'
loop_
_atom_site_label
_atom_site_fract_x
_atom_site_fract_y
_atom_site_fract_z
Zr1 0.000 0.000 0.000
Zr2 0.169 0.500 0.338
Sc1 0.358 0.000 0.712
Sc2 0.683 0.000 0.367
Cu1 0.524 0.500 0.050
Cu2 0.840 0.500 0.673
```

Output
polymorph energy (0 for the lowest one)	132	meV per atom
V	19.4	Å³/atom
Fermi-level density of states	1.536	states/eV/atom
formation energy from the elements	-20	meV/atom

[2]
Below is an optimized crystal structure of NdGaHPd2, with properties calculated at the PBE-GGA level.

The structure in CIF format:
```
data_NdGaHPd2
_chemical_formula_sum 'Nd4 Ga4 H4 Pd8'
_cell_length_a 3.905
_cell_length_b 11.024
_cell_length_c 7.551
_cell_angle_alpha 90.00
_cell_angle_beta 90.00
_cell_angle_gamma 90.00
_symmetry_space_group_name_H-M 'C m c m'
_symmetry_Int_Tables_number 63
_symmetry_space_group_name_Hall '-C 2c 2'
loop_
_atom_site_label
_atom_site_fract_x
_atom_site_fract_y
_atom_site_fract_z
Nd1 0.000 0.056 0.250
Ga1 0.000 0.227 0.750
H1 0.000 0.500 0.000
Pd1 0.000 0.344 0.056
```

Output
V	16.3	Å³/atom
Fermi-level density of states	0.246	states/eV/atom
uncorrected energy	-5.06	eV/atom

[3]
Below is an optimized crystal structure of LiOsN, with properties calculated at the PBE-GGA level.

The structure in CIF format:
```
data_LiOsN
_chemical_formula_sum 'Li2 Os2 N2'
_cell_length_a 5.120
_cell_length_b 3.145
_cell_length_c 5.427
_cell_angle_alpha 90.00
_cell_angle_beta 94.93
_cell_angle_gamma 90.00
_symmetry_space_group_name_H-M 'P 1 m 1'
_symmetry_Int_Tables_number 6
_symmetry_space_group_name_Hall 'P -2y'
loop_
_atom_site_label
_atom_site_fract_x
_atom_site_fract_y
_atom_site_fract_z
Li1 0.000 0.000 0.000
Li2 0.311 0.000 0.522
Os1 0.567 0.500 0.155
Os2 0.822 0.500 0.553
N1 0.369 0.000 0.130
N2 0.760 0.500 0.874
```

Output
V	14.5	Å³/atom
Fermi-level density of states	0.348	states/eV/atom
raw formation energy	4.16	kcal/mol of atoms

[4]
Below is an optimized crystal structure of PaAgGePd, with properties calculated at the PBE-GGA level.

The structure in CIF format:
```
data_PaAgGePd
_chemical_formula_sum 'Pa4 Ag4 Ge4 Pd4'
_cell_length_a 6.805
_cell_length_b 6.805
_cell_length_c 6.805
_cell_angle_alpha 90.00
_cell_angle_beta 90.00
_cell_angle_gamma 90.00
_symmetry_space_group_name_H-M 'F -4 3 m'
_symmetry_Int_Tables_number 216
_symmetry_space_group_name_Hall 'F -4 2 3'
loop_
_atom_site_label
_atom_site_fract_x
_atom_site_fract_y
_atom_site_fract_z
Pa1 0.000 0.000 0.000
Ag1 0.000 0.000 0.500
Ge1 0.250 0.250 0.250
Pd1 0.250 0.250 0.750
```

Output
V	19.7	Å³/atom
Fermi-level density of states	0.784	states/eV/atom
formation energy from the elements	-260	meV/atom